Entry 1:
The following is a DFT calculation (PBE) of crystalline Fe2NiAu at its relaxed geometry.

Unit cell a=4.5166 b=4.5166 c=4.6886 alpha=100.88 beta=100.88 gamma=34.74
Closest atoms and distances in Å follow each position.
Fractional positions:
Fe1 0.0000 0.0000 0.0000  3 Ni 2.53-2.60, 5 Fe 2.55-2.70, 4 Au 2.67-2.74
Fe2 0.7405 0.7405 0.2424  5 Fe 2.55-2.70, 2 Ni 2.55, 3 Au 2.63-2.69
Ni1 0.2563 0.2563 0.7880  5 Fe 2.53-2.60, 3 Au 2.68-2.71, 2 Ni 2.70
Au1 0.4984 0.4984 0.5072  7 Fe 2.63-2.74, 3 Ni 2.68-2.71, 2 Au 2.70

Output
- Energy relative to the elements: 0.448 eV per formula unit
- E above lowest polymorph: 51 meV/atom
- D(E_F): 0.70 states/eV/atom

***

Entry 2:
The following is a DFT calculation (PBE) of crystalline Cs2BaSb2S6 at its relaxed geometry.

Unit cell a=7.7607 b=7.7607 c=9.2728 alpha=116.67 beta=116.67 gamma=60.07
Closest atoms and distances in Å follow each position.
Fractional positions:
Cs1 0.2081 0.2081 0.2033  9 S 3.68-4.11
Cs2 0.7919 0.7919 0.7967  9 S 3.68-4.11
Ba1 0.0000 0.0000 0.5000  6 S 3.14-3.17
Sb1 0.4706 0.4706 0.8229  3 S 2.34-2.35
Sb2 0.5294 0.5294 0.1771  3 S 2.34-2.35
S1 0.1878 0.6908 0.1940  1 Sb 2.35
S2 0.2688 0.2688 0.6390  1 Sb 2.34
S3 0.3092 0.8122 0.8060  1 Sb 2.35
S4 0.6908 0.1878 0.1940  1 Sb 2.35
S5 0.7312 0.7312 0.3610  1 Sb 2.34
S6 0.8122 0.3092 0.8060  1 Sb 2.35

Output
- Formation energy (no corrections): -0.840 eV/atom

***

Please write out number 2 again, unchanged.
The following is a DFT calculation (PBE) of crystalline Cs2BaSb2S6 at its relaxed geometry.

Unit cell a=7.7607 b=7.7607 c=9.2728 alpha=116.67 beta=116.67 gamma=60.07
Closest atoms and distances in Å follow each position.
Fractional positions:
Cs1 0.2081 0.2081 0.2033  9 S 3.68-4.11
Cs2 0.7919 0.7919 0.7967  9 S 3.68-4.11
Ba1 0.0000 0.0000 0.5000  6 S 3.14-3.17
Sb1 0.4706 0.4706 0.8229  3 S 2.34-2.35
Sb2 0.5294 0.5294 0.1771  3 S 2.34-2.35
S1 0.1878 0.6908 0.1940  1 Sb 2.35
S2 0.2688 0.2688 0.6390  1 Sb 2.34
S3 0.3092 0.8122 0.8060  1 Sb 2.35
S4 0.6908 0.1878 0.1940  1 Sb 2.35
S5 0.7312 0.7312 0.3610  1 Sb 2.34
S6 0.8122 0.3092 0.8060  1 Sb 2.35

Output
- Formation energy (no corrections): -0.840 eV/atom